No. 1
Compound: Mg3VP
Source: the Alexandria database
Functional: GGA-PBE
Structure: optimized geometry

abc: 5.117 5.117 5.117
angles: 90.00 90.00 90.00
Space group Pm-3m (No. 221)
Asymmetric unit:
Mg 0.000 0.000 0.500
V 0.000 0.000 0.000
P 0.500 0.500 0.500

Calculated values
**Formation energy**: 114.0 kJ/mol of atoms
**Relative energy among the computed polymorphs**: 71.0 kJ/mol of atoms
**Magnetization**: 3.92 μB/f.u.



No. 2
Compound: Sm6Cd2Tc
Source: the Alexandria database
Functional: GGA-PBE
Structure: optimized geometry

abc: 3.977 14.879 8.804
angles: 90.00 90.00 90.00
Space group Amm2 (No. 38)
Asymmetric unit:
Sm 0.000 0.000 0.000
Sm 0.000 0.117 0.632
Sm 0.500 0.000 0.357
Sm 0.500 0.198 0.948
Cd 0.000 0.168 0.251
Tc 0.500 0.000 0.773

Calculated values
**Formation energy**: -11.3 kJ/mol of atoms
**Relative energy among the computed polymorphs**: 0.0 kJ/mol of atoms
**Magnetization**: 0.00 μB/f.u.



No. 3
Compound: Nb3GaSi
Source: the Alexandria database
Functional: GGA-PBE
Structure: optimized geometry

abc: 12.421 8.840 3.452
angles: 90.00 96.47 90.00
Space group Cm (No. 8)
Asymmetric unit:
Nb 0.000 0.000 0.000
Nb 0.064 0.306 0.633
Nb 0.289 0.306 0.521
Nb 0.352 0.000 0.155
Ga 0.176 0.000 0.577
Ga 0.176 0.500 0.077
Si 0.426 0.250 0.077

Calculated values
**Energy relative to the elements, uncorrected**: 0.115 eV/atom
**Relative energy among the computed polymorphs**: 0.0 kJ/mol of atoms
**Magnetization**: 0.00 μB/f.u.



No. 4
Compound: Mn2BeZn2
Source: the Alexandria database
Functional: GGA-PBE
Structure: optimized geometry

abc: 4.132 4.132 4.113
angles: 90.00 90.00 90.00
Space group P4/mmm (No. 123)
Asymmetric unit:
Mn 0.000 0.000 0.000
Mn 0.500 0.500 0.000
Be 0.000 0.000 0.500
Zn 0.000 0.500 0.500

Calculated values
**Formation energy**: 51.3 kJ/mol of atoms
**Relative energy among the computed polymorphs**: 24.9 kJ/mol of atoms
**Magnetization**: 6.19 μB/f.u.



No. 5
Compound: KTiTl2O6
Source: the Alexandria database
Functional: GGA-PBE
Structure: optimized geometry

abc: 9.901 12.768 6.731
angles: 90.00 115.09 90.00
Space group C2/c (No. 15)
Asymmetric unit:
K 0.000 0.104 0.250
Ti 0.000 0.183 0.750
Tl 0.131 0.411 0.144
O 0.086 0.253 0.007
O 0.114 0.435 0.470
O 0.131 0.090 0.712

Calculated values
**Energy relative to the elements, uncorrected**: -1.363 eV/atom
**Magnetization**: 1.07 μB/f.u.



No. 6
Compound: LaCoSiC2
Source: the Alexandria database
Functional: GGA-PBE
Structure: optimized geometry

abc: 4.346 4.346 5.550
angles: 90.00 90.00 90.00
Space group P4/mmm (No. 123)
Asymmetric unit:
La 0.000 0.000 0.000
Co 0.500 0.500 0.500
Si 0.000 0.000 0.500
C 0.000 0.500 0.000

Calculated values
**Energy relative to the elements, uncorrected**: 2.803 eV/atom
**Magnetization**: 0.04 μB/f.u.